[1]
This record from Alexandria describes an optimized crystal structure of Nd2Dy6Ho5. The functional is PBE.

Cell lengths 3.5805, 11.6797, 20.1724 Å; angles 90.00, 90.00, 90.00 degrees
Fractional coordinates of all 26 atoms:
Dy1 0.5000 0.8222 0.3731
Dy2 0.0000 0.9205 0.6343
Ho1 0.5000 0.6995 0.5518
Ho2 0.5000 0.9065 0.7778
Ho3 0.5000 0.1995 0.9482
Nd1 0.0000 0.1667 0.7842
Ho4 0.5000 0.0935 0.2222
Dy3 0.0000 0.5795 0.1343
Ho5 0.5000 0.8005 0.0518
Dy4 0.0000 0.5590 0.4221
Dy5 0.5000 0.3222 0.1269
Ho6 0.5000 0.0000 0.5000
Dy6 0.0000 0.0795 0.3657
Ho7 0.5000 0.5000 0.0000
Dy7 0.0000 0.4205 0.8657
Ho8 0.5000 0.4065 0.7222
Nd2 0.0000 0.6667 0.7158
Nd3 0.0000 0.8333 0.2158
Dy8 0.0000 0.0590 0.0779
Ho9 0.5000 0.3005 0.4482
Dy9 0.5000 0.1778 0.6269
Ho10 0.5000 0.5935 0.2778
Dy10 0.5000 0.6778 0.8731
Dy11 0.0000 0.4410 0.5779
Nd4 0.0000 0.3333 0.2842
Dy12 0.0000 0.9410 0.9221

Values from the calculation:
DFT formation energy in eV per atom: 0.100
Crystal system: orthorhombic
Theoretical density in Mg/m³: 8.22
Raw total energy in eV per cell: -117.48

***

[2]
This record from Alexandria describes an optimized crystal structure of Eu3V5Te12. The functional is PBE.

Cell lengths 14.8700, 14.8700, 14.8700 Å; angles 109.47, 109.47, 109.47 degrees
Fractional coordinates of all 80 atoms:
V1 0.5000 0.5000 0.0000
V2 0.0000 0.0000 0.0000
Te1 0.1811 0.0878 0.9758
V3 0.0000 0.5000 0.0000
V4 0.8750 0.6250 0.7500
V5 0.3750 0.2500 0.1250
Te2 0.1119 0.7052 0.5242
Te3 0.8881 0.5933 0.9122
Te4 0.4067 0.1119 0.5878
Te5 0.6119 0.0242 0.2052
Eu1 0.6250 0.3750 0.7500
Te6 0.5878 0.9758 0.6811
Te7 0.4122 0.3881 0.5933
Te8 0.5933 0.8881 0.4122
Te9 0.7948 0.3189 0.9067
V6 0.0000 0.0000 0.5000
Te10 0.3189 0.7948 0.4067
V7 0.2500 0.8750 0.1250
Te11 0.6811 0.4758 0.5878
Te12 0.6119 0.5878 0.9067
Te13 0.5933 0.7052 0.6811
Te14 0.8189 0.9122 0.0242
V8 0.5000 0.0000 0.0000
Eu2 0.8750 0.1250 0.2500
V9 0.8750 0.2500 0.6250
Te15 0.9122 0.0933 0.8881
Te16 0.8189 0.9067 0.2948
Te17 0.1811 0.0933 0.7052
Te18 0.8881 0.2948 0.4758
Te19 0.0878 0.1811 0.4758
Te20 0.9067 0.8189 0.7948
V10 0.5000 0.0000 0.5000
Te21 0.9758 0.5878 0.1811
Te22 0.6811 0.2052 0.5933
V11 0.0000 0.5000 0.5000
V12 0.7500 0.6250 0.3750
Te23 0.7052 0.5933 0.1811
Te24 0.4067 0.2948 0.3189
Eu3 0.3750 0.7500 0.6250
Te25 0.5878 0.6119 0.4067
Eu4 0.3750 0.6250 0.2500
Eu5 0.1250 0.2500 0.8750
Eu6 0.6250 0.2500 0.3750
Te26 0.0242 0.6119 0.7052
Eu7 0.7500 0.8750 0.6250
Te27 0.1119 0.4067 0.0878
Te28 0.4758 0.7948 0.8881
Eu8 0.2500 0.6250 0.8750
Te29 0.0878 0.9067 0.1119
Te30 0.0242 0.4122 0.8189
Te31 0.0933 0.9122 0.3881
Te32 0.0933 0.1811 0.2052
Te33 0.2052 0.6811 0.0933
V13 0.3750 0.1250 0.7500
Te34 0.5242 0.3189 0.9122
Te35 0.2948 0.8881 0.9758
Te36 0.7948 0.4758 0.3881
Te37 0.3881 0.4122 0.0933
V14 0.6250 0.8750 0.2500
Eu9 0.2500 0.1250 0.3750
Eu10 0.8750 0.7500 0.1250
V15 0.7500 0.1250 0.8750
Te38 0.2948 0.4067 0.8189
V16 0.1250 0.3750 0.2500
V17 0.5000 0.5000 0.5000
Te39 0.3189 0.5242 0.4122
V18 0.2500 0.3750 0.6250
V19 0.1250 0.7500 0.3750
Te40 0.4758 0.6811 0.0878
Te41 0.9758 0.3881 0.2948
Te42 0.9122 0.8189 0.5242
Te43 0.2052 0.5242 0.6119
V20 0.6250 0.7500 0.8750
Te44 0.4122 0.0242 0.3189
Te45 0.3881 0.9758 0.7948
Eu11 0.7500 0.3750 0.1250
Eu12 0.1250 0.8750 0.7500
Te46 0.9067 0.0878 0.6119
Te47 0.7052 0.1119 0.0242
Te48 0.5242 0.2052 0.1119

Values from the calculation:
Crystal system: cubic
Theoretical density in Mg/m³: 5.88
Raw total energy in eV per cell: -500.97
Formation energy without anion corrections in eV per atom: -0.556